# Ho3Tl3Cd (PBE, optimized geometry)
data_Ho3Tl3Cd
_cell_length_a 6.195
_cell_length_b 6.195
_cell_length_c 14.968
_cell_angle_alpha 106.65
_cell_angle_beta 106.65
_cell_angle_gamma 44.53
_symmetry_space_group_name_H-M 'P 1'
_symmetry_Int_Tables_number 1
loop_
_symmetry_equiv_pos_as_xyz
'x,y,z'
loop_
_atom_site_label
_atom_site_type_symbol
_atom_site_fract_x
_atom_site_fract_y
_atom_site_fract_z
Ho1 Ho 0.030 0.030 0.378
Ho2 Ho 0.099 0.099 0.923
Ho3 Ho 0.227 0.227 0.217
Ho4 Ho 0.773 0.773 0.783
Ho5 Ho 0.901 0.901 0.077
Ho6 Ho 0.970 0.970 0.622
Tl1 Tl 0.362 0.362 0.460
Tl2 Tl 0.373 0.373 0.927
Tl3 Tl 0.498 0.498 0.773
Tl4 Tl 0.502 0.502 0.227
Tl5 Tl 0.627 0.627 0.073
Tl6 Tl 0.638 0.638 0.540
Cd1 Cd 0.261 0.261 0.629
Cd2 Cd 0.739 0.739 0.371
# formation enthalpy at 0 K	-24.67	kJ per mole of atoms
# total magnetization	0.0	μB per cell
# SG	C2/m, No. 12